# 1
Density functional theory data (PBE-GGA) for an optimized crystal structure of LaPr2PaSb4.

Computed properties:
Symmetry ... P2/m
Energy relative to the elements, uncorrected ... -1.023 eV/atom

Cell lengths 4.5149, 7.8487, 7.8224 Å; angles 109.30, 90.00, 90.00 degrees
Last column: magnetic moment on the atom in μB.
Positions (direct):
Pr1 0.5000 0.0000 0.5000  0.02
Pr2 0.0000 0.5000 0.5000  0.01
Pa1 0.5000 0.5000 0.0000  0.74
Sb1 0.5000 0.7424 0.7545  -0.01
La1 0.0000 0.0000 0.0000  0.00
Sb2 0.0000 0.7398 0.2415  -0.01
Sb3 0.0000 0.2602 0.7585  -0.01
Sb4 0.5000 0.2576 0.2455  -0.01

---

# 2
Density functional theory data (PBE-GGA) for an optimized crystal structure of La2PrPaSb4.

Computed properties:
Symmetry ... P2/m
Energy relative to the elements, uncorrected ... -1.045 eV/atom

Cell lengths 4.5281, 7.8511, 7.8792 Å; angles 109.26, 90.00, 90.00 degrees
Last column: magnetic moment on the atom in μB.
Positions (direct):
Pr1 0.0000 0.0000 0.0000  0.01
La1 0.0000 0.5000 0.5000  0.01
Sb1 0.0000 0.2603 0.7622  -0.01
Sb2 0.0000 0.7397 0.2378  -0.01
La2 0.5000 0.0000 0.5000  0.02
Sb3 0.5000 0.2553 0.2416  -0.01
Pa1 0.5000 0.5000 0.0000  0.75
Sb4 0.5000 0.7447 0.7584  -0.01

---

# 3
Density functional theory data (PBE-GGA) for an optimized crystal structure of LaPa2Pt3.

Computed properties:
ΔH_f (0 K) ... -491 kJ/mol of formula units
Symmetry ... P6_3/mmc

Cell lengths 5.3411, 5.3412, 11.0416 Å; angles 90.00, 90.00, 120.00 degrees
Positions (direct):
Pa1 0.0000 0.0000 0.5000
Pt1 0.3333 0.6665 0.5134
Pt2 0.6667 0.3335 0.4866
Pa2 0.6664 0.3328 0.2500
La1 0.6669 0.3339 0.7500
La2 0.3331 0.6661 0.2500
Pa3 0.3336 0.6672 0.7500
Pa4 0.0000 0.0000 0.0000
Pt3 0.6667 0.3335 0.0134
Pt4 0.3333 0.6665 0.9866
Pt5 0.9998 0.9996 0.2500
Pt6 0.0002 0.0004 0.7500

---

# 4
Density functional theory data (PBE-GGA) for an optimized crystal structure of La4PaPt5.

Computed properties:
ΔH_f (0 K) ... -1072 kJ/mol of formula units
Symmetry ... I4/m

Cell lengths 5.9661, 7.3084, 7.3084 Å; angles 80.41, 65.91, 65.91 degrees
Positions (direct):
Pa1 0.0008 0.0000 0.0000
Pt1 0.2843 0.8097 0.6239
La1 0.5997 0.6038 0.1990
La2 0.2035 0.1990 0.3962
Pt2 0.7179 0.1903 0.3761
Pt3 0.9082 0.3761 0.8097
La3 0.7987 0.8010 0.6038
Pt4 0.0940 0.6239 0.1903
Pt5 0.5008 0.0000 0.0000
La4 0.4025 0.3962 0.8010

---

# 5
Density functional theory data (PBE-GGA) for an optimized crystal structure of La3PaPt4.

Computed properties:
ΔH_f (0 K) ... -852 kJ/mol of formula units
Symmetry ... P2/c

Cell lengths 7.2634, 7.3118, 8.4353 Å; angles 90.00, 90.00, 109.51 degrees
Positions (direct):
Pa1 0.7500 0.0000 0.8775
Pt1 0.9862 0.2404 0.6374
La1 0.7500 0.0000 0.3737
Pt2 0.0029 0.2298 0.1143
La2 0.7500 0.5000 0.1252
La3 0.2500 0.5000 0.8748
Pa2 0.2500 0.0000 0.1225
Pt3 0.9971 0.7702 0.8857
La4 0.2500 0.0000 0.6263
Pt4 0.5029 0.2298 0.8857
Pt5 0.4971 0.7702 0.1143
La5 0.2500 0.5000 0.3745
La6 0.7500 0.5000 0.6255
Pt6 0.5138 0.7596 0.6374
Pt7 0.4862 0.2404 0.3626
Pt8 0.0138 0.7596 0.3626

---

# 6
Density functional theory data (PBE-GGA) for an optimized crystal structure of LaPaPt.

Computed properties:
ΔH_f (0 K) ... -175 kJ/mol of formula units
E above lowest polymorph ... 0 meV per atom
Symmetry ... P4/nmm

Cell lengths 4.3504, 4.3504, 8.2281 Å; angles 90.00, 90.00, 90.00 degrees
Positions (direct):
La1 0.5000 0.0000 0.1363
Pa1 0.5000 0.5000 0.5000
Pa2 0.0000 0.0000 0.5000
Pt1 0.5000 0.0000 0.7618
Pt2 0.0000 0.5000 0.2382
La2 0.0000 0.5000 0.8637

---

# 7
Density functional theory data (PBE-GGA) for an optimized crystal structure of La2PaPt.

Computed properties:
ΔH_f (0 K) ... 0 kJ/mol of formula units
Symmetry ... R-3m

Cell lengths 3.4701, 3.4701, 10.9693 Å; angles 80.90, 80.90, 60.00 degrees
Positions (direct):
La1 0.0998 0.0998 0.7006
Pa1 0.0000 0.0000 0.0000
La2 0.9002 0.9002 0.2994
Pt1 0.5000 0.5000 0.5000

---

# 8
Density functional theory data (PBE-GGA) for an optimized crystal structure of LaPaPt.

Computed properties:
ΔH_f (0 K) ... -106 kJ/mol of formula units
E above lowest polymorph ... 239 meV per atom
Symmetry ... P-6m2

Cell lengths 4.4140, 4.6916, 4.6916 Å; angles 120.00, 90.00, 90.00 degrees
Positions (direct):
Pt1 0.1669 0.0000 0.0000
La1 0.6667 0.6667 0.3333
Pa1 0.1664 0.3333 0.6667

---

# 9
Density functional theory data (PBE-GGA) for an optimized crystal structure of La2Pa2Pt5.

Computed properties:
ΔH_f (0 K) ... -867 kJ/mol of formula units
Symmetry ... Cmce

Cell lengths 7.6651, 7.6807, 8.4012 Å; angles 117.20, 90.00, 90.00 degrees
Positions (direct):
Pt1 0.8603 0.5172 0.7553
La1 0.0000 0.7999 0.5998
Pt2 0.8603 0.7619 0.2447
Pt3 0.6397 0.0172 0.7553
Pt4 0.3603 0.7381 0.7553
Pt5 0.1397 0.4828 0.2447
Pt6 0.3603 0.9828 0.2447
La2 0.5000 0.2999 0.5998
Pa1 0.8375 0.3360 0.0000
Pt7 0.6397 0.2619 0.2447
Pt8 0.1397 0.2381 0.7553
Pt9 0.5000 0.5000 0.0000
Pa2 0.6625 0.8360 0.0000
La3 0.0000 0.2001 0.4002
Pa3 0.1625 0.6640 0.0000
Pa4 0.3375 0.1640 0.0000
Pt10 0.0000 0.0000 0.0000
La4 0.5000 0.7001 0.4002

---

# 10
Density functional theory data (PBE-GGA) for an optimized crystal structure of La2Pa2Pt15.

Computed properties:
ΔH_f (0 K) ... -1338 kJ/mol of formula units
Symmetry ... R-3m

Cell lengths 7.1632, 7.1632, 7.1632 Å; angles 81.72, 81.72, 81.72 degrees
Positions (direct):
Pt1 0.0000 0.3079 0.6921
Pt2 0.3079 0.0000 0.6921
Pt3 0.0000 0.5000 0.0000
Pt4 0.6921 0.0000 0.3079
Pa1 0.1021 0.1021 0.1021
Pt5 0.6547 0.1555 0.6547
La1 0.3566 0.3566 0.3566
Pt6 0.0000 0.0000 0.5000
La2 0.6434 0.6434 0.6434
Pt7 0.5000 0.0000 0.0000
Pt8 0.3079 0.6921 0.0000
Pt9 0.8445 0.3453 0.3453
Pt10 0.3453 0.3453 0.8445
Pt11 0.6547 0.6547 0.1555
Pt12 0.6921 0.3079 0.0000
Pt13 0.3453 0.8445 0.3453
Pt14 0.0000 0.6921 0.3079
Pt15 0.1555 0.6547 0.6547
Pa2 0.8979 0.8979 0.8979

---

# 11
Density functional theory data (PBE-GGA) for an optimized crystal structure of La5PaPt5.

Computed properties:
ΔH_f (0 K) ... -1088 kJ/mol of formula units
Symmetry ... C2/m

Cell lengths 5.9303, 7.3111, 8.4048 Å; angles 106.92, 89.99, 113.93 degrees
Positions (direct):
Pt1 0.5000 0.0000 0.0000
Pt2 0.8442 0.6884 0.1633
La1 0.0000 0.0000 0.5000
Pt3 0.1558 0.3116 0.8367
Pa1 0.0000 0.0000 0.0000
Pt4 0.1588 0.3176 0.3216
La2 0.6719 0.3438 0.3282
La3 0.3321 0.6643 0.1609
La4 0.3281 0.6562 0.6718
Pt5 0.8412 0.6824 0.6784
La5 0.6679 0.3357 0.8391

---

# 12
Density functional theory data (PBE-GGA) for an optimized crystal structure of La2PaSi3Pt4.

Computed properties:
Symmetry ... P-4m2
Energy relative to the elements, uncorrected ... -1.010 eV/atom

Cell lengths 4.3291, 4.3291, 10.8511 Å; angles 90.00, 90.00, 90.00 degrees
Positions (direct):
La1 0.5000 0.0000 0.2307
Pt1 0.0000 0.5000 0.3377
Si1 0.0000 0.5000 0.1149
La2 0.0000 0.5000 0.7693
Pt2 0.5000 0.0000 0.6623
Pa1 0.5000 0.5000 0.5000
Pt3 0.5000 0.5000 0.0000
Si2 0.0000 0.0000 0.5000
Pt4 0.0000 0.0000 0.0000
Si3 0.5000 0.0000 0.8851

---

# 13
Density functional theory data (PBE-GGA) for an optimized crystal structure of LaPaSi2Pt4.

Computed properties:
Symmetry ... P4/mmm
Energy relative to the elements, uncorrected ... -0.897 eV/atom

Cell lengths 4.1254, 4.1254, 9.3154 Å; angles 90.00, 90.00, 90.00 degrees
Positions (direct):
Pt1 0.5000 0.0000 0.7809
Si1 0.5000 0.5000 0.3683
La1 0.0000 0.0000 0.5000
Si2 0.5000 0.5000 0.6317
Pa1 0.0000 0.0000 0.0000
Pt2 0.0000 0.5000 0.7809
Pt3 0.5000 0.0000 0.2191
Pt4 0.0000 0.5000 0.2191

---

# 14
Density functional theory data (PBE-GGA) for an optimized crystal structure of LaPaSi2Pt2.

Computed properties:
Symmetry ... P-3m1
Energy relative to the elements, uncorrected ... -1.080 eV/atom

Cell lengths 4.2741, 4.2741, 7.9482 Å; angles 90.00, 90.00, 120.00 degrees
Positions (direct):
Si1 0.3333 0.6667 0.7257
La1 0.0000 0.0000 0.0000
Pt1 0.3333 0.6667 0.2676
Pt2 0.6667 0.3333 0.7324
Si2 0.6667 0.3333 0.2743
Pa1 0.0000 0.0000 0.5000

---

# 15
Density functional theory data (PBE-GGA) for an optimized crystal structure of LaPuPa.

Computed properties:
ΔH_f (0 K) ... 41 kJ/mol of formula units
E above lowest polymorph ... 0 meV per atom
Symmetry ... I4mm

Cell lengths 3.4389, 3.4389, 7.5085 Å; angles 103.24, 103.24, 90.00 degrees
Last column: magnetic moment on the atom in μB.
Positions (direct):
La1 0.0080 0.0080 0.0160  0.01
Pa1 0.6783 0.6783 0.3567  0.34
Pu1 0.3137 0.3137 0.6274  5.32

---

# 16
Density functional theory data (PBE-GGA) for an optimized crystal structure of LaPu4Pa.

Computed properties:
ΔH_f (0 K) ... 184 kJ/mol of formula units
Symmetry ... F-43m

Cell lengths 6.0465, 6.0465, 6.0465 Å; angles 60.00, 60.00, 60.00 degrees
Last column: magnetic moment on the atom in μB.
Positions (direct):
Pu1 0.1205 0.6265 0.6265  5.13
Pa1 0.0000 0.0000 0.0000  -0.07
Pu2 0.6265 0.6265 0.1205  5.13
Pu3 0.6265 0.6265 0.6265  5.13
Pu4 0.6265 0.1205 0.6265  5.13
La1 0.2500 0.2500 0.2500  0.01

---

# 17
Density functional theory data (PBE-GGA) for an optimized crystal structure of LaPu2Pa.

Computed properties:
ΔH_f (0 K) ... 48 kJ/mol of formula units
E above lowest polymorph ... 0 meV per atom
Symmetry ... P4/mmm

Cell lengths 3.3635, 3.3635, 9.5454 Å; angles 90.00, 90.00, 90.00 degrees
Last column: magnetic moment on the atom in μB.
Positions (direct):
Pu1 0.0000 0.0000 0.2172  5.11
Pu2 0.0000 0.0000 0.7828  5.11
La1 0.5000 0.5000 0.5000  -0.02
Pa1 0.5000 0.5000 0.0000  0.09

---

# 18
Density functional theory data (PBE-GGA) for an optimized crystal structure of LaPu2Pa.

Computed properties:
ΔH_f (0 K) ... 124 kJ/mol of formula units
E above lowest polymorph ... 197 meV per atom
Symmetry ... Fm-3m

Cell lengths 5.3963, 5.3963, 5.3963 Å; angles 60.00, 60.00, 60.00 degrees
Last column: magnetic moment on the atom in μB.
Positions (direct):
Pu1 0.7500 0.7500 0.7500  5.54
Pa1 0.5000 0.5000 0.5000  1.38
La1 0.0000 0.0000 0.0000  0.32
Pu2 0.2500 0.2500 0.2500  5.54

---

# 19
Density functional theory data (PBE-GGA) for an optimized crystal structure of LaPuPa.

Computed properties:
ΔH_f (0 K) ... 88 kJ/mol of formula units
E above lowest polymorph ... 161 meV per atom
Symmetry ... R-3m

Cell lengths 3.7833, 3.7833, 14.4793 Å; angles 82.49, 82.49, 60.00 degrees
Last column: magnetic moment on the atom in μB.
Positions (direct):
La1 0.6312 0.6312 0.1063  0.04
Pa1 0.1984 0.1984 0.4049  0.32
La2 0.3688 0.3688 0.8937  0.04
Pu1 0.1003 0.1003 0.6991  4.75
Pu2 0.8997 0.8997 0.3009  4.75
Pa2 0.8016 0.8016 0.5951  0.32

---

# 20
Density functional theory data (PBE-GGA) for an optimized crystal structure of La2PuPa.

Computed properties:
ΔH_f (0 K) ... 100 kJ/mol of formula units
Symmetry ... P4/mmm

Cell lengths 5.0866, 4.7550, 4.7550 Å; angles 90.00, 90.00, 90.00 degrees
Last column: magnetic moment on the atom in μB.
Positions (direct):
Pa1 0.5000 0.5000 0.5000  0.32
La1 0.0000 0.0000 0.5000  -0.02
La2 0.0000 0.5000 0.0000  -0.02
Pu1 0.5000 0.0000 0.0000  5.31